The following is a PBE-GGA calculation of a geometry-optimized TbYC2Br2 structure, from OQMD via LeMat-Bulk.

The structure belongs to space group Cm (No. 8); the cell edges are 7.079, 3.802 and 10.995 Å and the angles 90.00°, 94.54° and 90.00°. Symmetry generates all atoms from Tb at (0.000, 0.000, 0.000), Y at (0.211, 0.500, 0.736), C at (0.281, 0.000, 0.901), C at (0.430, 0.000, 0.834), Br at (0.033, 0.000, 0.564) and Br at (0.178, 0.500, 0.172).

For the size of the total moment, the calculation gives 0.0 μB/cell.

The following is a PBE-GGA calculation of a geometry-optimized TbPaPO structure, from OQMD via LeMat-Bulk.

The structure belongs to space group P4/nmm (No. 129, origin choice 2); the cell edges are 4.157, 4.157 and 9.035 Å and the angles 90.00°, 90.00° and 90.00°. Symmetry generates all atoms from Tb at (0.250, 0.750, 0.000), Pa at (0.250, 0.250, 0.362), P at (0.250, 0.250, 0.782) and O at (0.250, 0.750, 0.500).

For the size of the total moment, the calculation gives 2.0 μB/cell. The calculation puts the energy above the most stable polymorph in this dataset at 33.0 meV/atom.

The following is a PBE-GGA calculation of a geometry-optimized BePd2 structure, from OQMD via LeMat-Bulk.

The structure belongs to space group I4/mmm (No. 139); the cell edges are 2.766, 2.766 and 9.835 Å and the angles 90.00°, 90.00° and 90.00°. Symmetry generates all atoms from Be at (0.000, 0.000, 0.000) and Pd at (0.000, 0.000, 0.357).

The calculation puts the energy above the most stable polymorph in this dataset at 0.9 meV/atom.

Number 1: DFT total energy -39.4 eV/f.u.. Number 2: DFT total energy -29.8 eV/f.u.. Number 3: DFT total energy -15.6 eV/f.u..